! SmHgAu | OQMD | PBE-GGA | relaxed; values from VASP
! **Magnetization**: 0.003 μB per atom
! **Formation energy**: -0.66 eV per atom
&SYSTEM
  ibrav = 0, nat = 6, ntyp = 3
/
ATOMIC_SPECIES
Au 196.97 Au.upf
Hg 200.59 Hg.upf
Sm 150.36 Sm.upf
CELL_PARAMETERS angstrom
2.577 -4.464 0.000
2.577 4.464 0.000
0.000 0.000 6.232
ATOMIC_POSITIONS crystal
Au 0.167 0.833 0.250
Au 0.833 0.167 0.750
Hg 0.500 0.500 0.000
Hg 0.500 0.500 0.500
Sm 0.833 0.167 0.250
Sm 0.167 0.833 0.750



! SmZn2Ir2 | OQMD | PBE-GGA | relaxed; values from VASP
! **Magnetization**: 0.000 μB per atom
! **Formation energy**: -0.34 eV per atom
&SYSTEM
  ibrav = 0, nat = 5, ntyp = 3
/
ATOMIC_SPECIES
Ir 192.22 Ir.upf
Sm 150.36 Sm.upf
Zn 65.41 Zn.upf
CELL_PARAMETERS angstrom
-3.649 -2.441 3.964
-5.855 0.532 -0.646
4.700 -1.541 -3.243
ATOMIC_POSITIONS crystal
Ir 0.750 0.250 0.500
Ir 0.250 0.750 0.500
Sm 0.000 0.000 0.000
Zn 0.385 0.385 0.000
Zn 0.615 0.615 0.000